1.
DFT (PBEsol) results for a relaxed Cs2TbO3 crystal.

Output
The density of states at the Fermi level is 25.1 states/eV/cell. The uncorrected formation energy is -1969 meV/atom. As for the theoretical density: 5.73 g/cm³. The calculation puts the spin magnetization at 0.1696 μB per atom.

Unit cell a=11.4177 b=7.5501 c=6.3584 alpha=90.00 beta=90.00 gamma=90.00
Last column: nearest neighbours and their distance in Å.
Space group Cmc2_1 (No. 36)
Unique sites:
Cs  0.1641  0.1426  0.0000 [8 per cell]  6 O 2.90-3.24
Tb  0.0000  0.4071  0.5359 [4 per cell]  5 O 2.11-2.24
O  0.0000  0.1347  0.6107 [4 per cell]  1 Tb 2.11
O  0.1219  0.4787  0.2723 [8 per cell]  2 Tb 2.22-2.24

---

2.
DFT (PBEsol) results for a relaxed La4MgRh crystal.

Output
Its formation energy is -0.321 eV per atom. The density of states at the Fermi level is 94.2 states/eV/cell. As for the theoretical density: 6.41 g/cm³. The calculation puts the spin magnetization at 0.0000 μB per atom.

Unit cell a=14.1488 b=14.1488 c=14.1488 alpha=90.00 beta=90.00 gamma=90.00
Last column: nearest neighbours and their distance in Å.
Space group F-43m (No. 216)
Unique sites:
La  0.0000  0.0000  0.1892 [24 per cell]  2 Mg 3.43, 2 Rh 3.59, 10 La 3.60-3.79
La  0.0614  0.2500  0.2500 [24 per cell]  2 Rh 2.91
La  0.0959  0.0959  0.5959 [16 per cell]  3 Rh 2.90
Mg  0.1711  0.1711  0.8289 [16 per cell]  3 Mg 3.16, 3 La 3.43
Rh  0.1085  0.1085  0.3915 [16 per cell]  6 La 2.90-2.91

---

3.
DFT (PBEsol) results for a relaxed ZnFeTe2 crystal.

Output
The density of states at the Fermi level is 10.9 states/eV/cell. The uncorrected formation energy is 140 meV/atom. As for the theoretical density: 6.67 g/cm³. The calculation puts the spin magnetization at 0.0021 μB per atom.

Unit cell a=3.7170 b=3.7170 c=23.5059 alpha=90.00 beta=90.00 gamma=120.00
Last column: nearest neighbours and their distance in Å.
Space group R-3m (No. 166, hexagonal axes)
Unique sites:
Zn  0.0000  0.0000  0.0000 [3 per cell]  2 Te 2.61
Fe  0.0000  0.0000  0.5000 [3 per cell]  6 Te 2.51-2.52
Te  0.0000  0.0000  0.1109 [6 per cell]  3 Fe 2.52, 1 Zn 2.61

---

4.
DFT (PBEsol) results for a relaxed BaBeSb2I crystal.

Output
The density of states at the Fermi level is 3.5 states/eV/cell. The uncorrected formation energy is -339 meV/atom. As for the theoretical density: 5.69 g/cm³. The calculation puts the spin magnetization at 0.0001 μB per atom.

Unit cell a=4.8564 b=4.8564 c=6.3959 alpha=90.00 beta=90.00 gamma=90.00
Last column: nearest neighbours and their distance in Å.
Space group P4/mmm (No. 123)
Unique sites:
Ba  0.0000  0.0000  0.0000 [1 per cell]  4 I 3.43
Be  0.5000  0.5000  0.5000 [1 per cell]  4 Sb 2.43
Sb  0.0000  0.5000  0.5000 [2 per cell]  2 Be 2.43
I  0.5000  0.5000  0.0000 [1 per cell]  2 Be 3.20, 4 Ba 3.43

---

5.
DFT (PBEsol) results for a relaxed CaFeAg2 crystal.

Output
Its formation energy is 0.282 eV per atom. The density of states at the Fermi level is 3.6 states/eV/cell. As for the theoretical density: 6.91 g/cm³. The calculation puts the spin magnetization at 0.6969 μB per atom.

Unit cell a=3.3926 b=3.3926 c=6.5043 alpha=90.00 beta=90.00 gamma=90.00
Last column: nearest neighbours and their distance in Å.
Space group P4mm (No. 99)
Unique sites:
Ca  0.0000  0.0000  0.0000 [1 per cell]  6 Ag 3.06-3.38, 4 Fe 3.07, 4 Ca 3.39
Fe  0.5000  0.5000  0.2935 [1 per cell]  5 Ag 2.69-2.70
Ag  0.0000  0.0000  0.4798 [1 per cell]  4 Fe 2.69, 4 Ag 2.82
Ag  0.5000  0.5000  0.7080 [1 per cell]  1 Fe 2.70, 4 Ag 2.82

---

6.
DFT (PBEsol) results for a relaxed ErGe3 crystal.

Output
Its formation energy is -0.515 eV per atom. The density of states at the Fermi level is 5.0 states/eV/cell. As for the theoretical density: 8.20 g/cm³. The calculation puts the spin magnetization at 0.0000 μB per atom.

Unit cell a=3.9637 b=20.4105 c=3.8544 alpha=90.00 beta=90.00 gamma=90.00
Last column: nearest neighbours and their distance in Å.
Space group Cmcm (No. 63)
Unique sites:
Er  0.0000  0.0815  0.2500 [4 per cell]  10 Ge 2.89-3.18
Ge  0.0000  0.1901  0.7500 [4 per cell]  5 Ge 2.48-2.76
Ge  0.0000  0.3116  0.7500 [4 per cell]  5 Ge 2.48-2.76
Ge  0.0000  0.4595  0.2500 [4 per cell]  2 Ge 2.54

---

7.
DFT (PBEsol) results for a relaxed CaCO3 crystal.

Output
The density of states at the Fermi level is 0.0 states/eV/cell. The uncorrected formation energy is -2279 meV/atom. As for the theoretical density: 2.99 g/cm³. The calculation puts the spin magnetization at 0.0000 μB per atom.

Unit cell a=5.6554 b=4.9513 c=7.9390 alpha=90.00 beta=90.00 gamma=90.00
Last column: nearest neighbours and their distance in Å.
Space group Pnma (No. 62)
Unique sites:
Ca  0.2405  0.2500  0.0850 [4 per cell]  9 O 2.39-2.64
C  0.0864  0.2500  0.7379 [4 per cell]  3 O 1.29-1.30
O  0.0887  0.0241  0.8203 [8 per cell]  1 C 1.30
O  0.0969  0.2500  0.5759 [4 per cell]  1 C 1.29

---

8.
DFT (PBEsol) results for a relaxed Mg2Ga crystal.

Output
Its formation energy is -0.079 eV per atom. The density of states at the Fermi level is 4.4 states/eV/cell. As for the theoretical density: 3.21 g/cm³. The calculation puts the spin magnetization at 0.0000 μB per atom.

Unit cell a=10.8402 b=3.1369 c=7.2039 alpha=90.00 beta=93.21 gamma=90.00
Last column: nearest neighbours and their distance in Å.
Space group Cm (No. 8)
Unique sites:
Mg  0.0000  0.0000  0.0000 [2 per cell]  4 Ga 2.80-2.97
Mg  0.0989  0.0000  0.5854 [2 per cell]  4 Ga 2.82-2.91, 5 Mg 2.92-3.14
Mg  0.2429  0.5000  0.2729 [2 per cell]  4 Ga 2.78-3.01
Mg  0.3667  0.0000  0.6612 [2 per cell]  3 Ga 2.78-2.84, 3 Mg 2.92-3.04
Ga  0.2163  0.5000  0.8867 [2 per cell]  7 Mg 2.78-2.97
Ga  0.4679  0.0000  0.3155 [2 per cell]  8 Mg 2.78-3.01

---

9.
DFT (PBEsol) results for a relaxed CuSi2P crystal.

Output
The density of states at the Fermi level is 2.1 states/eV/cell. The uncorrected formation energy is 275 meV/atom. As for the theoretical density: 4.41 g/cm³. The calculation puts the spin magnetization at 0.0000 μB per atom.

Unit cell a=3.3559 b=3.3559 c=10.0813 alpha=90.00 beta=90.00 gamma=90.00
Last column: nearest neighbours and their distance in Å.
Space group P4/nmm (No. 129, origin choice 2)
Unique sites:
Cu  0.2500  0.7500  0.0000 [2 per cell]  4 Cu 2.37, 4 Si 2.54
Si  0.2500  0.2500  0.1888 [2 per cell]  4 P 2.51, 4 Cu 2.54
Si  0.2500  0.7500  0.5000 [2 per cell]  4 Si 2.37
P  0.2500  0.2500  0.7292 [2 per cell]  4 Si 2.51

---

10.
DFT (PBEsol) results for a relaxed CdH7C3NO6 crystal.

Output
The density of states at the Fermi level is 0.0 states/eV/cell. The calculated total energy is -6.024 eV/atom. As for the theoretical density: 2.47 g/cm³. The calculation puts the spin magnetization at 0.0000 μB per atom.

Unit cell a=6.9574 b=9.6702 c=10.6228 alpha=90.00 beta=90.00 gamma=90.00
Last column: nearest neighbours and their distance in Å.
Space group Pna2_1 (No. 33)
Unique sites:
Cd  0.0973  0.0075  0.0000 [4 per cell]  6 O 2.30-2.33
H  0.0186  0.3981  0.1888 [4 per cell]  1 N 1.06
H  0.0622  0.2624  0.8502 [4 per cell]  1 C 1.12
H  0.1314  0.7416  0.1344 [4 per cell]  1 C 1.12
H  0.1796  0.3368  0.2981 [4 per cell]  1 N 1.04
H  0.1983  0.5356  0.8656 [4 per cell]  1 C 1.11
H  0.2225  0.3097  0.1405 [4 per cell]  1 N 1.04
H  0.2412  0.4685  0.1999 [4 per cell]  1 N 1.04
C  0.0593  0.7113  0.4145 [4 per cell]  1 H 1.12
C  0.2037  0.0343  0.2826 [4 per cell]  1 H 1.11
C  0.2419  0.7158  0.0618 [4 per cell]  1 H 1.12
N  0.1645  0.3762  0.2076 [4 per cell]  4 H 1.04-1.06
O  0.0262  0.0214  0.2997 [4 per cell]  1 C 1.25
O  0.0891  0.7926  0.5066 [4 per cell]  1 C 1.27
O  0.1543  0.6045  0.3878 [4 per cell]  1 C 1.26
O  0.1702  0.1029  0.5785 [4 per cell]  1 C 1.26
O  0.2167  0.5465  0.6749 [4 per cell]  1 C 1.28
O  0.2344  0.3010  0.4725 [4 per cell]  1 C 1.27

---

11.
DFT (PBEsol) results for a relaxed BaHgRh2 crystal.

Output
Its formation energy is 0.437 eV per atom. The density of states at the Fermi level is 8.6 states/eV/cell. As for the theoretical density: 10.82 g/cm³. The calculation puts the spin magnetization at 0.0001 μB per atom.

Unit cell a=6.9367 b=6.9367 c=6.9367 alpha=90.00 beta=90.00 gamma=90.00
Last column: nearest neighbours and their distance in Å.
Space group F-43m (No. 216)
Unique sites:
Ba  0.0000  0.0000  0.0000 [4 per cell]  4 Hg 3.00, 4 Rh 3.00
Hg  0.2500  0.2500  0.7500 [4 per cell]  4 Ba 3.00, 4 Rh 3.00
Rh  0.0000  0.0000  0.5000 [4 per cell]  4 Hg 3.00, 4 Rh 3.00
Rh  0.2500  0.2500  0.2500 [4 per cell]  4 Ba 3.00, 4 Rh 3.00

---

12.
DFT (PBEsol) results for a relaxed CrBS2 crystal.

Output
The density of states at the Fermi level is 5.6 states/eV/cell. The uncorrected formation energy is 82 meV/atom. As for the theoretical density: 3.33 g/cm³. The calculation puts the spin magnetization at 0.8850 μB per atom.

Unit cell a=3.4786 b=3.4786 c=18.1296 alpha=90.00 beta=90.00 gamma=120.00
Last column: nearest neighbours and their distance in Å.
Space group R-3m (No. 166, hexagonal axes)
Unique sites:
Cr  0.0000  0.0000  0.0000 [3 per cell]  6 S 2.39
B  0.0000  0.0000  0.5000 [3 per cell]  2 S 1.72
S  0.0000  0.0000  0.4052 [6 per cell]  1 B 1.72